Entry 1:
LaY2As: optimized geometry, PBE. Values from VASP.

Geometry as Quantum ESPRESSO input:
```
&SYSTEM
  ibrav = 0, nat = 4, ntyp = 3
/
ATOMIC_SPECIES
La 138.91 La.upf
Y 88.91 Y.upf
As 74.92 As.upf
CELL_PARAMETERS angstrom
3.8385 0.0000 0.0000
0.0000 3.8385 0.0000
0.0000 0.0000 7.9023
ATOMIC_POSITIONS angstrom
La 0.0000 0.0000 0.0000
Y 0.0000 0.0000 4.7236
Y 1.9192 1.9192 2.5203
As 1.9192 1.9192 5.9495
```

Calculated values
**Symmetry**: P4mm, No. 99
**E**: -6.21 eV per atom
**Formation enthalpy at 0 K**: -0.579 eV/atom

Entry 2:
LaY2As2: optimized geometry, PBE. Values from VASP.

Geometry as Quantum ESPRESSO input:
```
&SYSTEM
  ibrav = 0, nat = 10, ntyp = 3
/
ATOMIC_SPECIES
La 138.91 La.upf
Y 88.91 Y.upf
As 74.92 As.upf
CELL_PARAMETERS angstrom
8.0377 0.0000 0.0000
0.0000 8.0377 0.0000
0.0000 0.0000 3.9111
ATOMIC_POSITIONS angstrom
La 0.0000 0.0000 0.0000
La 4.0188 4.0188 0.0000
Y 1.2454 2.7735 1.9555
Y 2.7735 6.7923 1.9555
Y 5.2642 1.2454 1.9555
Y 6.7923 5.2642 1.9555
As 1.1641 5.1830 0.0000
As 2.8547 1.1641 0.0000
As 5.1830 6.8736 0.0000
As 6.8736 2.8547 0.0000
```

Calculated values
**Symmetry**: P4/mbm, No. 127
**Distance to the lowest polymorph of the same formula**: 0.000 eV/f.u.
**E**: -6.59 eV per atom
**Formation enthalpy at 0 K**: -1.162 eV/atom

Entry 3:
LaY2As3: optimized geometry, PBE. Values from VASP.

Geometry as Quantum ESPRESSO input:
```
&SYSTEM
  ibrav = 0, nat = 6, ntyp = 3
/
ATOMIC_SPECIES
La 138.91 La.upf
Y 88.91 Y.upf
As 74.92 As.upf
CELL_PARAMETERS angstrom
-2.1048 2.9839 6.3090
2.1048 -2.9839 6.3090
2.1048 2.9839 -6.3090
ATOMIC_POSITIONS angstrom
La 0.0000 0.0000 0.0000
Y 0.0000 0.0000 4.2170
Y 0.0000 0.0000 8.4011
As 2.1048 0.0000 2.1890
As 0.0000 2.9839 0.0000
As 0.0000 2.9839 4.1200
```

Calculated values
**Symmetry**: Immm, No. 71
**E**: -6.85 eV per atom
**Formation enthalpy at 0 K**: -1.546 eV/atom